[1]
Compound: CaMgSb2
Source: Alexandria via LeMat-Bulk
Functional: SCAN
Structure: PBEsol geometry

## Properties
Crystal system: tetragonal
Formation energy from raw total energies (meV/atom): -466
Magnetization (μB per atom): 0.000
E_tot (eV/atom): -22.7560

Cell: 3.531 3.531 8.233 Å, 90.00 90.00 90.00°
Atoms (fractional coordinates):
Ca 0.500 0.500 0.000
Mg 0.500 0.500 0.500
Sb 0.000 0.000 0.734
Sb 0.000 0.000 0.266

---

[2]
Compound: LaRu2Au
Source: Alexandria via LeMat-Bulk
Functional: SCAN
Structure: PBEsol geometry

## Properties
Crystal system: tetragonal
Magnetization (μB per atom): 0.000
E_tot (eV/atom): -45.4411

Cell: 3.197 3.197 7.272 Å, 90.00 90.00 90.00°
Atoms (fractional coordinates):
Au 0.000 0.000 0.458
La 0.500 0.500 0.760
Ru 0.000 0.000 0.066
Ru 0.500 0.500 0.215

---

Q: What is the magnetization in the first record?
A: 0.000 μB per atom

---

Q: Among the records above, which one has the lowest E_tot?
A: LaRu2Au